Version w
A relaxed LaReCl3 crystal, computed with PBE.

- D(E_F) (states/eV per atom) = 0.89

Cell lengths 4.7761, 4.7761, 4.7761 Å; angles 90.00, 90.00, 90.00 degrees
With the nearest neighbours (Å) after each atom.
Fractional coordinates of all 5 atoms:
La 0.0000 0.0000 0.0000  12 Cl 3.38
Re 0.5000 0.5000 0.5000  6 Cl 2.39
Cl 0.0000 0.5000 0.5000  2 Re 2.39
Cl 0.5000 0.0000 0.5000  2 Re 2.39
Cl 0.5000 0.5000 0.0000  2 Re 2.39

***

Version x
A relaxed LaReCl3 crystal, computed with PBE.

- D(E_F) (states/eV per atom) = 0.00

Cell lengths 5.5847, 5.5847, 5.5847 Å; angles 90.00, 90.00, 90.00 degrees
With the nearest neighbours (Å) after each atom.
Fractional coordinates of all 5 atoms:
La 0.0000 0.0000 0.0000  6 Cl 2.79
Re 0.5000 0.5000 0.5000  12 Cl 3.95
Cl 0.0000 0.0000 0.5000  2 La 2.79
Cl 0.0000 0.5000 0.0000  2 La 2.79
Cl 0.5000 0.0000 0.0000  2 La 2.79

***

List of relative energies, unit meV per atom: version w 133; version x 0

***

Version w
A relaxed LaRhCl2 crystal, computed with PBE.

- D(E_F) (states/eV per atom) = 0.83

Cell lengths 4.8965, 4.8965, 4.8965 Å; angles 60.00, 60.00, 60.00 degrees
With the nearest neighbours (Å) after each atom.
Fractional coordinates of all 4 atoms:
La 0.0000 0.0000 0.0000  4 Cl 3.00, 4 Rh 3.00
Rh 0.7500 0.7500 0.7500  4 Cl 3.00, 4 La 3.00
Cl 0.2500 0.2500 0.2500  4 Cl 3.00, 4 La 3.00
Cl 0.5000 0.5000 0.5000  4 Rh 3.00, 4 Cl 3.00

***

Version x
A relaxed LaRhCl2 crystal, computed with PBE.

- D(E_F) (states/eV per atom) = 1.23

Cell lengths 3.7471, 3.7471, 6.0864 Å; angles 90.00, 90.00, 90.00 degrees
With the nearest neighbours (Å) after each atom.
Fractional coordinates of all 4 atoms:
La 0.0000 0.0000 0.0000  8 Cl 3.03, 2 Rh 3.04
Rh 0.0000 0.0000 0.5000  2 La 3.04, 8 Cl 3.08
Cl 0.5000 0.5000 0.2424  2 Cl 2.95-3.14, 4 La 3.03, 4 Rh 3.08
Cl 0.5000 0.5000 0.7576  2 Cl 2.95-3.14, 4 La 3.03, 4 Rh 3.08

***

Version y
A relaxed LaRhCl2 crystal, computed with PBE.

Cell lengths 7.0576, 7.0576, 4.3259 Å; angles 91.04, 91.04, 32.16 degrees
With the nearest neighbours (Å) after each atom.
Fractional coordinates of all 4 atoms:
La 0.0000 0.0000 0.0000  4 Rh 2.92, 4 Cl 2.97
Rh 0.5000 0.5000 0.5000  2 Cl 2.36
Cl 0.3507 0.3507 0.7738  1 Rh 2.36
Cl 0.6493 0.6493 0.2262  1 Rh 2.36

***

List of relative energies, unit meV per atom: version w 467; version x 669; version y 0

***

Version w
A relaxed LaRhCl2 crystal, computed with PBE.

- D(E_F) (states/eV per atom) = 0.13

Cell lengths 4.8629, 4.8629, 4.8629 Å; angles 60.00, 60.00, 60.00 degrees
With the nearest neighbours (Å) after each atom.
Fractional coordinates of all 4 atoms:
La 0.0000 0.0000 0.0000  8 Cl 2.98
Rh 0.5000 0.5000 0.5000  8 Cl 2.98
Cl 0.2500 0.2500 0.2500  4 La 2.98, 4 Rh 2.98
Cl 0.7500 0.7500 0.7500  4 La 2.98, 4 Rh 2.98

***

Version x
A relaxed LaRhCl2 crystal, computed with PBE.

- D(E_F) (states/eV per atom) = 0.76

Cell lengths 8.9524, 8.9524, 8.9524 Å; angles 23.06, 23.06, 23.06 degrees
With the nearest neighbours (Å) after each atom.
Fractional coordinates of all 4 atoms:
La 0.0000 0.0000 0.0000  6 Cl 2.90
Rh 0.5000 0.5000 0.5000  2 Cl 2.33
Cl 0.4110 0.4110 0.4110  1 Rh 2.33
Cl 0.5890 0.5890 0.5890  1 Rh 2.33

***

List of relative energies, unit meV per atom: version w 0; version x 169